{
  "formula": "RbNiHgF6",
  "functional": "PBE with a Hubbard U",
  "state": "relaxed",
  "lattice": [[5.6787, -0.1766, -0.0477], [2.6871, 5.0043, 0.0395], [-0.0421, 0.0857, 5.7463]],
  "species": ["Rb", "Ni", "Hg", "F", "F", "F", "F", "F", "F"],
  "fractional_positions": [[0.0011, 0.0009, 0.0006], [0.3324, 0.3324, 0.4998], [0.6782, 0.6782, 0.5007], [0.0595, 0.3421, 0.3167], [0.3403, 0.0598, 0.6824], [0.5974, 0.3449, 0.6816], [0.0497, 0.5954, 0.7028], [0.3464, 0.5971, 0.3184], [0.5949, 0.0492, 0.2969]],
  "final_energy_ev_per_atom": -3.5693,
  "space_group": "P1 (1)",
  "crystal_system": "triclinic"
}